1.
Material: Th6Te3Rh2Se
Method: DFT, GGA-PBE
State: relaxed

Geometry as extended XYZ:
```
12
Lattice="7.4136 0.0123 0.0030 -3.6944 6.4275 0.0030 -1.2373 -2.1424 7.4142" Properties=species:S:1:pos:R:3 pbc="T T T"
Th 3.7853 2.0231 5.8547
Th 2.4067 4.1671 1.5455
Th -1.3034 2.2743 1.5655
Th -0.1394 4.2898 5.8547
Th 0.0752 0.1303 5.8747
Th 2.6214 0.0076 1.5655
Te -2.5583 4.3429 3.7101
Te 5.0402 -0.0455 3.7101
Te 1.2410 2.1487 3.7101
Rh 0.0003 4.2937 0.0030
Rh 3.7189 2.1461 0.0030
Se 0.0000 0.0000 0.0000
```

Values from the calculation:
- space group = C2/m
- formation energy (no corrections) (eV/atom) = -1.131
- crystal system = monoclinic

2.
Material: Th8Te4Rh3Se
Method: DFT, GGA-PBE
State: relaxed

Geometry as extended XYZ:
```
16
Lattice="8.4624 0.0000 0.0000 0.0000 8.9626 0.3436 -4.2312 -4.2276 5.9901" Properties=species:S:1:pos:R:3 pbc="T T T"
Th -2.0574 2.2971 6.0695
Th 0.0000 4.3529 3.1550
Th 0.0000 0.4402 3.2996
Th 2.0574 2.2971 6.0695
Th 2.1739 2.4379 0.2641
Th 4.2312 4.2948 3.0341
Th 4.2312 0.3821 3.1787
Th 6.2886 2.4379 0.2641
Te 4.2312 0.0000 0.0000
Te 2.1156 -2.1138 2.9950
Te 0.0000 0.0000 0.0000
Te -2.1156 -2.1138 2.9950
Rh 4.2312 4.4813 0.1718
Rh 2.1156 2.3675 3.1668
Rh -2.1156 2.3675 3.1668
Se 0.0000 4.4813 0.1718
```

Values from the calculation:
- space group = R-3m
- formation energy (no corrections) (eV/atom) = -1.092
- crystal system = trigonal

3.
Material: Th4Te2RhSe
Method: DFT, GGA-PBE
State: relaxed

Geometry as extended XYZ:
```
8
Lattice="4.1753 0.0000 0.0000 0.0000 7.5355 0.1813 0.0000 -2.5884 7.3606" Properties=species:S:1:pos:R:3 pbc="T T T"
Th 2.0876 1.2842 1.6820
Th 2.0876 3.6628 5.8599
Th 0.0000 0.0603 5.8623
Th 0.0000 4.8867 1.6797
Te 2.0876 -1.2942 3.6803
Te 0.0000 2.4735 3.7710
Rh 2.0876 3.7677 0.0906
Se 0.0000 0.0000 0.0000
```

Values from the calculation:
- space group = P2/m
- formation energy (no corrections) (eV/atom) = -1.170
- crystal system = monoclinic

4.
Material: Tl2TeRh2Se6
Method: DFT, GGA-PBE
State: relaxed

Geometry as extended XYZ:
```
11
Lattice="6.6668 -0.0338 0.1254 -3.3245 5.7788 0.1254 -1.1140 -1.9148 7.5154" Properties=species:S:1:pos:R:3 pbc="T T T"
Tl 5.1392 0.8548 0.1254
Tl -1.7970 4.8901 0.1254
Te -0.5570 -0.9574 3.7577
Rh -0.5581 2.8879 3.8831
Rh 2.7864 0.9422 3.8831
Se 1.5348 2.6381 5.3131
Se -1.7879 1.0942 5.1974
Se 0.6935 1.1920 2.4531
Se 1.8349 -1.0134 5.1974
Se 4.0162 2.7359 2.5687
Se 0.3934 4.8436 2.5687
```

Values from the calculation:
- space group = C2/m
- formation energy (no corrections) (eV/atom) = -0.302
- crystal system = monoclinic

5.
Material: Tm4TeRhSe2
Method: DFT, GGA-PBE
State: relaxed

Geometry as extended XYZ:
```
8
Lattice="4.0026 0.0000 0.0000 0.0000 7.2648 -0.2328 0.0000 2.4703 6.7885" Properties=species:S:1:pos:R:3 pbc="T T T"
Tm 0.0001 7.2228 4.7036
Tm 4.0026 2.5123 1.8521
Tm 2.0014 6.0099 1.7563
Tm 2.0013 3.7252 4.7994
Te 2.0013 3.6324 -0.1164
Rh 0.0000 4.8675 3.2779
Se 0.0000 2.4703 6.7884
Se 2.0013 1.2351 3.3942
```

Values from the calculation:
- space group = P2/m
- formation energy (no corrections) (eV/atom) = -1.320
- crystal system = monoclinic

6.
Material: ZnTeRhSe2
Method: DFT, GGA-PBE
State: relaxed

Geometry as extended XYZ:
```
5
Lattice="4.8616 0.0000 0.0000 0.0000 4.8017 0.0000 0.0000 0.0000 4.8616" Properties=species:S:1:pos:R:3 pbc="T T T"
Zn 0.0000 0.0000 0.0000
Te 2.4308 2.4008 2.4308
Rh 0.0000 2.4008 0.0000
Se 0.0000 0.0000 2.4308
Se 2.4308 0.0000 0.0000
```

Values from the calculation:
- space group = P4/mmm
- formation energy (no corrections) (eV/atom) = 0.692
- crystal system = tetragonal

7.
Material: Th5RhSe5
Method: DFT, GGA-PBE
State: relaxed

Geometry as extended XYZ:
```
11
Lattice="-2.2340 -0.8437 -5.4490 6.8750 2.4367 0.0519 0.3200 -8.2430 1.1451" Properties=species:S:1:pos:R:3 pbc="T T T"
Th 2.8230 -0.3842 -4.3457
Th 3.0290 -4.6666 -3.7671
Th -1.1170 -0.4219 -2.7245
Th 1.9319 -1.9834 -0.4849
Th 2.1379 -6.2659 0.0937
Rh 0.0000 0.0000 0.0000
Se 0.9536 -2.5507 -3.2438
Se 0.9814 -6.5213 -2.6404
Se 0.1600 -4.1215 0.5726
Se 3.9796 -0.1288 -1.6116
Se 4.0073 -4.0994 -1.0082
```

Values from the calculation:
- space group = C2/m
- formation energy (no corrections) (eV/atom) = -1.477
- crystal system = monoclinic

8.
Material: ThRhSe
Method: DFT, GGA-PBE
State: relaxed

Geometry as extended XYZ:
```
6
Lattice="3.9003 0.0000 0.0000 0.0000 3.9003 0.0000 0.0000 0.0000 9.0821" Properties=species:S:1:pos:R:3 pbc="T T T"
Rh 0.0000 1.9501 5.1474
Rh 1.9501 0.0000 3.9348
Th 0.0000 1.9501 2.4214
Th 1.9501 0.0000 6.6607
Se 1.9501 0.0000 1.2052
Se 0.0000 1.9501 7.8769
```

Values from the calculation:
- space group = P4/nmm
- formation energy (no corrections) (eV/atom) = -1.147
- energy above the lowest structure with this stoichiometry (meV/atom) = 51
- crystal system = tetragonal

9.
Material: ThRhSe2
Method: DFT, GGA-PBE
State: relaxed

Geometry as extended XYZ:
```
4
Lattice="-0.6605 -1.8685 3.1597 0.7791 -3.6414 0.2109 7.8409 -0.0105 3.8341" Properties=species:S:1:pos:R:3 pbc="T T T"
Rh 3.9798 -2.7602 3.6024
Se 5.1462 -0.6413 2.8978
Se 2.8133 -4.8791 4.3069
Th 0.0000 0.0000 0.0000
```

Values from the calculation:
- space group = R-3m
- formation energy (no corrections) (eV/atom) = -0.349
- crystal system = trigonal

10.
Material: Th6RhSe5
Method: DFT, GGA-PBE
State: relaxed

Geometry as extended XYZ:
```
12
Lattice="-1.7413 -3.1055 6.3621 -0.6848 -7.2450 -0.8883 5.7936 -4.3640 0.8733" Properties=species:S:1:pos:R:3 pbc="T T T"
Rh 0.0000 0.0000 0.0000
Se 2.7912 -5.6591 3.5966
Se 1.6868 -3.8677 -0.0085
Se -1.2130 -5.1753 2.7369
Se 3.4221 -7.7413 -0.0065
Se 0.5764 -9.0554 2.7505
Th 0.4717 -4.3429 5.0430
Th 1.0229 -6.4814 1.2726
Th -0.6018 -2.5231 1.3831
Th -1.8242 -7.8274 4.0907
Th 2.3448 -8.2331 5.0745
Th 2.8959 -10.3716 1.3042
```

Values from the calculation:
- space group = C2/m
- formation energy (no corrections) (eV/atom) = -1.436
- crystal system = monoclinic

11.
Material: ThRh4Se8
Method: DFT, GGA-PBE
State: relaxed

Geometry as extended XYZ:
```
13
Lattice="1.6363 0.5680 7.4488 2.5354 -6.1115 3.8349 6.9745 -0.3716 2.4220" Properties=species:S:1:pos:R:3 pbc="T T T"
Th 5.5731 -2.9575 6.8529
Rh 1.2677 -3.0557 1.9174
Rh 2.0858 -2.7717 5.6418
Rh 0.8181 0.2840 3.7244
Rh 0.0000 0.0000 0.0000
Se 7.3481 -1.2908 8.3354
Se 3.3400 -1.2220 7.2111
Se 3.7980 -4.6242 5.3703
Se 4.6314 -4.3349 9.1643
Se 8.5250 -4.3925 10.2396
Se 2.6211 -1.5225 3.4661
Se 6.5147 -1.5802 4.5414
Se 7.8061 -4.6930 6.4947
```

Values from the calculation:
- space group = R-3m
- formation energy (no corrections) (eV/atom) = -0.656
- crystal system = trigonal

12.
Material: Th4RhSe3
Method: DFT, GGA-PBE
State: relaxed

Geometry as extended XYZ:
```
16
Lattice="-2.7230 -5.3814 -3.9501 7.0915 -1.4486 1.4458 -2.2674 -4.0427 7.0706" Properties=species:S:1:pos:R:3 pbc="T T T"
Rh -4.0216 -7.5653 3.2100
Rh -0.9687 -1.8588 -0.0895
Se -2.8883 -5.5446 -0.3242
Se -2.1021 -3.8796 3.4447
Se 0.0862 -7.2874 2.1801
Se 1.2112 -5.2815 -1.3281
Se 2.0149 -3.5853 2.3862
Se 0.8899 -5.5912 5.8945
Th -2.4052 -8.2334 0.8735
Th -1.7474 -6.6322 4.5733
Th -0.4616 -4.5047 1.0332
Th 1.3506 -0.8454 1.1332
Th 0.7506 -10.0273 3.4331
Th 2.5627 -6.3680 3.5332
Th 3.8486 -4.2405 -0.0069
Th 4.5063 -2.6393 3.6928
```

Values from the calculation:
- space group = P2/c
- formation energy (no corrections) (eV/atom) = -1.381
- crystal system = monoclinic